# 1
The following is a SCAN calculation of a PBEsol-optimized structure of KZn2Si, from Alexandria.

Computed properties:
Total energy = -11.069 eV per atom
E_form (uncorrected) = 26.5 kJ/mol of atoms
Total magnetization = 0.00 μB/cell

Unit cell a=3.2708 b=3.2708 c=7.7140 alpha=90.00 beta=90.00 gamma=90.00
Space group P4mm (No. 99)
Unique sites:
1 K 0.0000 0.0000 0.0000 x1
2 Zn 0.0000 0.0000 0.4835 x1
3 Zn 0.5000 0.5000 0.6645 x1
4 Si 0.5000 0.5000 0.3223 x1

---

# 2
The following is a SCAN calculation of a PBEsol-optimized structure of LaBeCu, from Alexandria.

Computed properties:
Total energy = -20.537 eV per atom
Total magnetization = 0.00 μB/cell
Energy of formation = 349 meV per atom

Unit cell a=6.2757 b=6.2757 c=6.2757 alpha=90.00 beta=90.00 gamma=90.00
Space group F-43m (No. 216)
Unique sites:
1 La 0.0000 0.0000 0.0000 x4
2 Be 0.2500 0.2500 0.7500 x4
3 Cu 0.0000 0.0000 0.5000 x4

---

# 3
The following is a SCAN calculation of a PBEsol-optimized structure of Na2Cd2Sn, from Alexandria.

Computed properties:
Total energy = -21.166 eV per atom
Total magnetization = 0.00 μB/cell
Energy of formation = -130 meV per atom

Unit cell a=7.3535 b=7.3535 c=4.8945 alpha=90.00 beta=90.00 gamma=90.00
Space group P4/mbm (No. 127)
Unique sites:
1 Na 0.1745 0.3255 0.0000 x4
2 Cd 0.1325 0.6325 0.5000 x4
3 Sn 0.0000 0.0000 0.5000 x2

---

- What is the formula in the second record?
  LaBeCu

---

- What is the formula in the second record?
  LaBeCu